VPtIN2 | PBE | optimized geometry

Calculated values
N(E_F)   3.50 states/eV/f.u.
Total energy   -6.00 eV/atom
Magnetic moment   0.114 μB/atom
Polymorph energy (0 for the lowest one)   0 meV per atom
Mass density   7662 kg/m3
Formation energy from raw total energies   0.67 eV per atom

Lattice parameters (Å, degrees): 3.7757 3.7757 6.0953 90.00 90.00 90.00
Last column: nearest neighbours and their distance in Å.
Space group P4/mmm (No. 123)
One atom of each set of equivalent atoms:
1 V 0.0000 0.0000 0.0000 (multiplicity 1)  4 N 1.89
2 Pt 0.5000 0.5000 0.5000 (multiplicity 1)  4 I 2.67
3 I 0.0000 0.0000 0.5000 (multiplicity 1)  4 Pt 2.67
4 N 0.0000 0.5000 0.0000 (multiplicity 2)  2 V 1.89